one:
Material: Cu2BSe
Method: DFT, PBE-GGA
State: optimized geometry

a = 4.235 Å, b = 4.235 Å, c = 4.235 Å
α = 60.00°, β = 60.00°, γ = 60.00°
Atoms (fractional coordinates):
Cu (0.250, 0.250, 0.250)
Cu (0.750, 0.750, 0.750)
B (0.000, 0.000, 0.000)
Se (0.500, 0.500, 0.500)

Properties
- space-group type = Fm-3m (225)
- magnetic moment (μB per formula unit) = 0.000

=====

two:
Material: Cu2BSe
Method: DFT, PBE-GGA
State: optimized geometry

a = 7.156 Å, b = 7.156 Å, c = 7.156 Å
α = 146.14°, β = 146.14°, γ = 48.63°
Atoms (fractional coordinates):
Cu (0.036, 0.625, 0.911)
Cu (0.375, 0.286, 0.411)
Cu (0.714, 0.125, 0.089)
Cu (0.875, 0.964, 0.589)
B (0.000, 0.000, 0.000)
B (0.750, 0.250, 0.500)
Se (0.250, 0.750, 0.500)
Se (0.500, 0.500, 0.000)

Properties
- space-group type = I-42d (122)
- magnetic moment (μB per formula unit) = 0.000

=====

Most stable structure: two

=====

one:
Material: CuB3Se
Method: DFT, PBE-GGA
State: optimized geometry

a = 3.995 Å, b = 3.995 Å, c = 3.995 Å
α = 90.00°, β = 90.00°, γ = 90.00°
Atoms (fractional coordinates):
Cu (0.000, 0.000, 0.000)
B (0.000, 0.000, 0.500)
B (0.000, 0.500, 0.000)
B (0.500, 0.000, 0.000)
Se (0.500, 0.500, 0.500)

Properties
- space-group type = Pm-3m (221)
- magnetic moment (μB per formula unit) = 0.000

=====

two:
Material: CuB3Se
Method: DFT, PBE-GGA
State: optimized geometry

a = 4.070 Å, b = 4.070 Å, c = 4.070 Å
α = 90.00°, β = 90.00°, γ = 90.00°
Atoms (fractional coordinates):
Cu (0.000, 0.000, 0.000)
B (0.000, 0.500, 0.500)
B (0.500, 0.000, 0.500)
B (0.500, 0.500, 0.000)
Se (0.500, 0.500, 0.500)

Properties
- space-group type = Pm-3m (221)
- magnetic moment (μB per formula unit) = 0.000

=====

Most stable structure: one

=====

one:
Material: CuSi2B2
Method: DFT, PBE-GGA
State: optimized geometry

a = 6.392 Å, b = 6.392 Å, c = 2.628 Å
α = 90.00°, β = 90.00°, γ = 90.00°
Atoms (fractional coordinates):
Cu (0.000, 0.000, 0.000)
Cu (0.500, 0.500, 0.000)
Si (0.139, 0.361, 0.000)
Si (0.361, 0.861, 0.000)
Si (0.639, 0.139, 0.000)
Si (0.861, 0.639, 0.000)
B (0.162, 0.662, 0.500)
B (0.338, 0.162, 0.500)
B (0.662, 0.838, 0.500)
B (0.838, 0.338, 0.500)

Properties
- space-group type = P4/mbm (127)
- magnetic moment (μB per formula unit) = 0.000

=====

two:
Material: CuSi2B2
Method: DFT, PBE-GGA
State: optimized geometry

a = 5.257 Å, b = 5.257 Å, c = 5.257 Å
α = 140.35°, β = 140.35°, γ = 57.33°
Atoms (fractional coordinates):
Cu (0.000, 0.000, 0.000)
Si (0.374, 0.374, 0.000)
Si (0.626, 0.626, 0.000)
B (0.250, 0.750, 0.500)
B (0.750, 0.250, 0.500)

Properties
- space-group type = I4/mmm (139)
- magnetic moment (μB per formula unit) = 0.000

=====

Most stable structure: two